Entry 1:
Below is a relaxed SrLi2PbF crystal, with properties calculated at the PBE level.

* DOS(E_F): 2.3 states/eV/f.u.
* total energy: -3.493 eV per atom
* density: 4.9 Mg/m³
* formation energy from raw total energies: -1.276 eV/atom
* spin magnetization: 0.0 μB per formula unit

Structure (POSCAR):
```
SrLi2PbF
1.0
-2.177 4.276 -0.071
-4.034 -2.027 1.627
1.440 0.810 4.581
Li Pb Sr F
2 1 1 1
Direct
0.000 0.500 0.000
0.500 0.000 0.000
0.500 0.500 0.500
0.000 0.000 0.500
0.000 0.000 0.000
```


Entry 2:
Below is a relaxed MgReOs2 crystal, with properties calculated at the PBE level.

* DOS(E_F): 3.4 states/eV/f.u.
* total energy: -8.742 eV per atom
* density: 16.1 Mg/m³
* E_form: 8.8 kcal/mol of atoms
* spin magnetization: 0.0 μB per formula unit

Structure (POSCAR):
```
MgReOs2
1.0
2.727 0.007 0.000
-1.178 2.460 0.000
0.000 0.000 9.068
Mg Os Re
1 2 1
Direct
0.500 0.500 0.750
0.000 0.000 0.005
0.000 0.000 0.495
0.500 0.500 0.250
```


Entry 3:
Below is a relaxed InSb2C2 crystal, with properties calculated at the PBE level.

* E above lowest polymorph: 0.0 meV/atom
* DOS(E_F): 2.1 states/eV/f.u.
* total energy: -4.741 eV per atom
* density: 6.7 Mg/m³
* formation energy from raw total energies: 1.146 eV/atom
* spin magnetization: 0.0 μB per formula unit

Structure (POSCAR):
```
InSb2C2
1.0
-2.092 -0.820 -4.724
-3.543 -3.210 2.126
-4.953 0.661 -0.818
Sb In C
2 1 2
Direct
0.750 0.250 0.500
0.250 0.750 0.500
0.000 0.000 0.000
0.595 0.595 0.810
0.405 0.405 0.190
```